Density functional theory data (PBE) for an optimized crystal structure of NbCd2As2.

a = 6.916 Å, b = 6.916 Å, c = 4.252 Å
α = 90.00°, β = 90.00°, γ = 90.00°
Fractional positions:
1 Nb 0.000 0.000 0.000
2 Nb 0.500 0.500 0.000
3 Cd 0.171 0.329 0.500
4 Cd 0.329 0.829 0.500
5 Cd 0.671 0.171 0.500
6 Cd 0.829 0.671 0.500
7 As 0.144 0.644 0.000
8 As 0.356 0.144 0.000
9 As 0.644 0.856 0.000
10 As 0.856 0.356 0.000

Properties
The value obtained for the final energy is -4.202 eV per atom. The value obtained for the total magnetic moment is 0.00 μB/f.u. For the energy of formation, the calculation gives 0.04 eV per atom.

Density functional theory data (PBE) for an optimized crystal structure of Nb2Cd2As.

a = 6.625 Å, b = 6.625 Å, c = 4.694 Å
α = 90.00°, β = 90.00°, γ = 90.00°
Fractional positions:
1 Nb 0.150 0.350 0.000
2 Nb 0.350 0.850 0.000
3 Nb 0.650 0.150 0.000
4 Nb 0.850 0.650 0.000
5 Cd 0.157 0.657 0.500
6 Cd 0.343 0.157 0.500
7 Cd 0.657 0.843 0.500
8 Cd 0.843 0.343 0.500
9 As 0.000 0.000 0.000
10 As 0.500 0.500 0.000

Properties
The value obtained for the final energy is -5.353 eV per atom. The value obtained for the total magnetic moment is 0.00 μB/f.u. For the energy of formation, the calculation gives -0.03 eV per atom.